[1]
# GGA+U GeMoI2O, optimized geometry
data_GeMoI2O
_chemical_formula_sum 'Ge1 Mo1 I2 O1'
_symmetry_space_group_name_H-M 'P 1'
_symmetry_Int_Tables_number 1
_symmetry_space_group_name_Hall 'P 1'
_cell_length_a 5.931
_cell_length_b 5.931
_cell_length_c 3.904
_cell_angle_alpha 90.00
_cell_angle_beta 90.00
_cell_angle_gamma 90.00
loop_
_atom_site_label
_atom_site_type_symbol
_atom_site_fract_x
_atom_site_fract_y
_atom_site_fract_z
_atom_site_occupancy
I1 I 0.500 0.000 0.000 1
I2 I 0.000 0.500 0.000 1
O1 O 0.000 0.000 0.500 1
Ge1 Ge 0.500 0.500 0.500 1
Mo1 Mo 0.000 0.000 0.000 1
# energy above the most stable polymorph in this dataset: 0.000 eV per atom
# raw total energy: -4.065 eV/atom



[2]
# GGA+U GeMoI2O, optimized geometry
data_GeMoI2O
_chemical_formula_sum 'Ge1 Mo1 I2 O1'
_symmetry_space_group_name_H-M 'P 1'
_symmetry_Int_Tables_number 1
_symmetry_space_group_name_Hall 'P 1'
_cell_length_a 5.942
_cell_length_b 5.942
_cell_length_c 3.778
_cell_angle_alpha 90.00
_cell_angle_beta 90.00
_cell_angle_gamma 90.00
loop_
_atom_site_label
_atom_site_type_symbol
_atom_site_fract_x
_atom_site_fract_y
_atom_site_fract_z
_atom_site_occupancy
O1 O 0.000 0.000 0.500 1
Ge1 Ge 0.000 0.000 0.000 1
Mo1 Mo 0.500 0.500 0.500 1
I1 I 0.500 0.000 0.000 1
I2 I 0.000 0.500 0.000 1
# energy above the most stable polymorph in this dataset: 0.167 eV per atom
# raw total energy: -3.897 eV/atom